(1)
Compound: LaInSe2N
Source: Alexandria
Functional: PBE-GGA
Structure: relaxed

Cell: 5.357 5.357 4.167 Å, 90.00 90.00 90.00°
Positions (direct):
1 La 0.000 0.000 0.000
2 In 0.500 0.500 0.500
3 Se 0.000 0.500 0.500
4 Se 0.500 0.000 0.500
5 N 0.500 0.500 0.000

For the uncorrected formation energy, the calculation gives -7.141 kcal/mol of atoms. Its energy above the most stable polymorph in this dataset is 0.0 kJ per mole of atoms. The total magnetic moment comes out at 0.21 μB/atom.

***

(2)
Compound: LaInSe2N
Source: Alexandria
Functional: PBE-GGA
Structure: relaxed

Cell: 6.009 6.009 4.298 Å, 90.00 90.00 90.00°
Positions (direct):
1 La 0.000 0.000 0.000
2 In 0.500 0.500 0.500
3 Se 0.000 0.500 0.000
4 Se 0.500 0.000 0.000
5 N 0.000 0.000 0.500

For the uncorrected formation energy, the calculation gives -0.365 kcal/mol of atoms. Its energy above the most stable polymorph in this dataset is 28.3 kJ per mole of atoms. The total magnetic moment comes out at 0.42 μB/atom.